[1]
A plane-wave DFT calculation with PBE was carried out for a relaxed LaPm2YHo5 crystal.

abc: 9.9024 9.9024 9.9024
angles: 127.44 127.44 77.54
Element x y z (fractional)
La: 0.2500 0.2500 0.0000
La: 0.7500 0.7500 0.0000
Pm: 0.1163 0.6163 0.7325
Pm: 0.3837 0.1163 0.5000
Pm: 0.6163 0.8837 0.5000
Pm: 0.8837 0.3837 0.2675
Y: 0.2500 0.7500 0.5000
Y: 0.7500 0.2500 0.5000
Ho: 0.0000 0.0000 0.0000
Ho: 0.0738 0.1550 0.5000
Ho: 0.1550 0.6550 0.0812
Ho: 0.3450 0.4262 0.5000
Ho: 0.4262 0.9262 0.0812
Ho: 0.5000 0.5000 0.0000
Ho: 0.5738 0.0738 0.9188
Ho: 0.6550 0.5738 0.5000
Ho: 0.8450 0.3450 0.9188
Ho: 0.9262 0.8450 0.5000

## Properties
Total energy: -41.447 eV/f.u.
Energy of formation: 2.33 eV/f.u.

[2]
A plane-wave DFT calculation with PBE was carried out for a relaxed P4C5 crystal.

abc: 10.9711 10.9711 10.9711
angles: 90.80 90.80 166.41
Element x y z (fractional)
P: 0.0000 0.1158 0.1158
P: 0.0000 0.8842 0.8842
P: 0.1158 0.0000 0.1158
P: 0.8842 0.0000 0.8842
C: 0.0000 0.0000 0.0000
C: 0.2500 0.2500 0.5000
C: 0.2500 0.7500 0.0000
C: 0.7500 0.2500 0.0000
C: 0.7500 0.7500 0.5000

## Properties
Total energy: -57.944 eV/f.u.
Energy of formation: 9.81 eV/f.u.
E above lowest polymorph: 0 meV/atom

[3]
A plane-wave DFT calculation with PBE was carried out for a relaxed Li3U3CrS8 crystal.

abc: 7.6330 7.6330 7.6330
angles: 59.52 59.52 59.52
Element x y z (fractional)
Li: 0.0000 0.5000 0.5000
Li: 0.5000 0.0000 0.5000
Li: 0.5000 0.5000 0.0000
U: 0.0000 0.0000 0.5000
U: 0.0000 0.5000 0.0000
U: 0.5000 0.0000 0.0000
Cr: 0.5000 0.5000 0.5000
S: 0.2542 0.2542 0.2542
S: 0.2650 0.2650 0.7319
S: 0.2650 0.7319 0.2650
S: 0.2681 0.7350 0.7350
S: 0.7319 0.2650 0.2650
S: 0.7350 0.2681 0.7350
S: 0.7350 0.7350 0.2681
S: 0.7458 0.7458 0.7458

## Properties
Total energy: -101.166 eV/f.u.
Formation energy (no corrections): -1.261 eV/atom

[4]
A plane-wave DFT calculation with PBE was carried out for a relaxed TbZn2Au crystal.

abc: 4.2197 4.2197 4.5216
angles: 90.00 90.00 90.00
Element x y z (fractional)
Tb: 0.0000 0.0000 0.0000
Zn: 0.0000 0.5000 0.5000
Zn: 0.5000 0.0000 0.5000
Au: 0.5000 0.5000 0.0000

## Properties
Total energy: -11.957 eV/f.u.
Energy of formation: -1.50 eV/f.u.

[5]
A plane-wave DFT calculation with PBE was carried out for a relaxed Nd2GaSiRh6 crystal.

abc: 6.4383 6.4383 6.4383
angles: 120.08 119.92 90.00
Element x y z (fractional)
Nd: 0.2500 0.2500 0.0000
Nd: 0.7500 0.7500 0.0000
Ga: 0.5000 0.0000 0.5000
Si: 0.0000 0.5000 0.5000
Rh: 0.2438 0.2562 0.5000
Rh: 0.2438 0.7438 0.5000
Rh: 0.2438 0.7438 0.9876
Rh: 0.7562 0.2562 0.0124
Rh: 0.7562 0.2562 0.5000
Rh: 0.7562 0.7438 0.5000

## Properties
Total energy: -66.902 eV/f.u.
Formation energy (no corrections): -0.481 eV/atom

[6]
A plane-wave DFT calculation with PBE was carried out for a relaxed Ti2CN crystal.

abc: 4.6541 4.6541 9.3315
angles: 90.00 90.00 90.00
Element x y z (fractional)
Ti: 0.2440 0.2500 0.1250
Ti: 0.2500 0.7440 0.3750
Ti: 0.2500 0.7560 0.8750
Ti: 0.2560 0.2500 0.6250
Ti: 0.7440 0.7500 0.6250
Ti: 0.7500 0.2440 0.8750
Ti: 0.7500 0.2560 0.3750
Ti: 0.7560 0.7500 0.1250
C: 0.0000 0.0000 0.5000
C: 0.0000 0.5000 0.7500
C: 0.5000 0.0000 0.2500
C: 0.5000 0.5000 0.0000
N: 0.0000 0.0000 0.0000
N: 0.0000 0.5000 0.2500
N: 0.5000 0.0000 0.7500
N: 0.5000 0.5000 0.5000

## Properties
Total energy: -36.686 eV/f.u.
E above lowest polymorph: 458 meV/atom
Formation energy (no corrections): -0.837 eV/atom

[7]
A plane-wave DFT calculation with PBE was carried out for a relaxed Tb6Pr3Tm crystal.

abc: 6.6813 6.6813 9.8246
angles: 112.12 112.12 59.38
Element x y z (fractional)
Tb: 0.0586 0.5705 0.1853
Tb: 0.1356 0.1356 0.4202
Tb: 0.4295 0.9414 0.8147
Tb: 0.5705 0.0586 0.1853
Tb: 0.8644 0.8644 0.5798
Tb: 0.9414 0.4295 0.8147
Pr: 0.4279 0.4279 0.7981
Pr: 0.5000 0.5000 0.5000
Pr: 0.5721 0.5721 0.2019
Tm: 0.0000 0.0000 0.0000

## Properties
Total energy: -44.314 eV/f.u.
Energy of formation: 2.28 eV/f.u.
E above lowest polymorph: 81 meV/atom

[8]
A plane-wave DFT calculation with PBE was carried out for a relaxed AlCd3Si crystal.

abc: 5.1487 5.1487 5.1487
angles: 90.00 90.00 90.00
Element x y z (fractional)
Al: 0.0000 0.0000 0.0000
Cd: 0.0000 0.0000 0.5000
Cd: 0.0000 0.5000 0.0000
Cd: 0.5000 0.0000 0.0000
Si: 0.5000 0.5000 0.5000

## Properties
Total energy: -8.059 eV/f.u.
E above lowest polymorph: 211 meV/atom
Formation energy (no corrections): 0.770 eV/atom

[9]
A plane-wave DFT calculation with PBE was carried out for a relaxed ZrSeS2 crystal.

abc: 3.5868 3.5868 24.2463
angles: 90.00 90.00 120.00
Element x y z (fractional)
Zr: 0.0000 0.0000 0.0000
Zr: 0.3333 0.6667 0.6667
Zr: 0.6667 0.3333 0.3333
Se: 0.0000 0.0000 0.5000
Se: 0.3333 0.6667 0.1667
Se: 0.6667 0.3333 0.8333
S: 0.0000 0.0000 0.3972
S: 0.0000 0.0000 0.6028
S: 0.3333 0.6667 0.0639
S: 0.3333 0.6667 0.2694
S: 0.6667 0.3333 0.7306
S: 0.6667 0.3333 0.9361

## Properties
Total energy: -23.557 eV/f.u.
Formation energy (no corrections): -0.817 eV/atom

[10]
A plane-wave DFT calculation with PBE was carried out for a relaxed Zn2AgP crystal.

abc: 2.9886 4.4442 5.2576
angles: 90.00 106.35 90.00
Element x y z (fractional)
Zn: 0.0000 0.0000 0.0000
Zn: 0.1577 0.5000 0.3222
Ag: 0.4380 0.5000 0.8764
P: 0.2733 0.0000 0.5514

## Properties
Total energy: -10.233 eV/f.u.
Energy of formation: 0.58 eV/f.u.

[11]
A plane-wave DFT calculation with PBE was carried out for a relaxed TlTe2Pd2 crystal.

abc: 5.1351 5.1351 9.8833
angles: 90.00 90.00 90.00
Element x y z (fractional)
Tl: 0.0000 0.0000 0.0000
Tl: 0.5000 0.5000 0.5000
Te: 0.0000 0.5000 0.2500
Te: 0.0000 0.5000 0.7500
Te: 0.5000 0.0000 0.2500
Te: 0.5000 0.0000 0.7500
Pd: 0.0000 0.0000 0.3447
Pd: 0.0000 0.0000 0.6553
Pd: 0.5000 0.5000 0.1553
Pd: 0.5000 0.5000 0.8447

## Properties
Total energy: -19.990 eV/f.u.
E above lowest polymorph: 86 meV/atom
Formation energy (no corrections): -0.191 eV/atom

[12]
A plane-wave DFT calculation with PBE was carried out for a relaxed HgBi2S2 crystal.

abc: 8.5910 8.5910 3.8592
angles: 90.00 90.00 90.00
Element x y z (fractional)
Hg: 0.0000 0.0000 0.0000
Hg: 0.5000 0.5000 0.0000
Bi: 0.2047 0.2953 0.0000
Bi: 0.2953 0.7953 0.0000
Bi: 0.7047 0.2047 0.0000
Bi: 0.7953 0.7047 0.0000
S: 0.1455 0.6455 0.5000
S: 0.3545 0.1455 0.5000
S: 0.6455 0.8545 0.5000
S: 0.8545 0.3545 0.5000

## Properties
Total energy: -16.606 eV/f.u.
E above lowest polymorph: 58 meV/atom
Formation energy (no corrections): -0.058 eV/atom

[13]
A plane-wave DFT calculation with PBE was carried out for a relaxed UTlBr4 crystal.

abc: 8.6264 8.6264 6.7531
angles: 105.60 105.60 111.93
Element x y z (fractional)
U: 0.0006 0.9994 0.7500
U: 0.9994 0.0006 0.2500
Tl: 0.3680 0.6320 0.7500
Tl: 0.6320 0.3680 0.2500
Br: 0.0548 0.7318 0.4261
Br: 0.2093 0.3397 0.1893
Br: 0.2682 0.9452 0.0739
Br: 0.3397 0.2093 0.6893
Br: 0.6603 0.7907 0.3107
Br: 0.7318 0.0548 0.9261
Br: 0.7907 0.6603 0.8107
Br: 0.9452 0.2682 0.5739

## Properties
Total energy: -27.205 eV/f.u.
E above lowest polymorph: 0 meV/atom
Formation energy (no corrections): -1.143 eV/atom

[14]
A plane-wave DFT calculation with PBE was carried out for a relaxed BaBiMo2 crystal.

abc: 8.3493 8.3493 6.5219
angles: 90.00 90.00 90.00
Element x y z (fractional)
Ba: 0.0000 0.0000 0.0000
Ba: 0.0000 0.5000 0.2500
Ba: 0.5000 0.0000 0.7500
Ba: 0.5000 0.5000 0.5000
Bi: 0.0000 0.0000 0.5000
Bi: 0.0000 0.5000 0.7500
Bi: 0.5000 0.0000 0.2500
Bi: 0.5000 0.5000 0.0000
Mo: 0.1944 0.2500 0.6250
Mo: 0.2500 0.6944 0.8750
Mo: 0.2500 0.8056 0.3750
Mo: 0.3056 0.2500 0.1250
Mo: 0.6944 0.7500 0.1250
Mo: 0.7500 0.1944 0.3750
Mo: 0.7500 0.3056 0.8750
Mo: 0.8056 0.7500 0.6250

## Properties
Total energy: -21.564 eV/f.u.
Energy of formation: 5.90 eV/f.u.

[15]
A plane-wave DFT calculation with PBE was carried out for a relaxed TbTmLu2 crystal.

abc: 4.9342 4.9342 4.9167
angles: 90.00 90.00 90.00
Element x y z (fractional)
Tb: 0.0000 0.0000 0.0000
Tm: 0.5000 0.5000 0.0000
Lu: 0.0000 0.5000 0.5000
Lu: 0.5000 0.0000 0.5000

## Properties
Total energy: -18.021 eV/f.u.
Energy of formation: 0.12 eV/f.u.
E above lowest polymorph: 1 meV/atom

[16]
A plane-wave DFT calculation with PBE was carried out for a relaxed LaCrBiPb2 crystal.

abc: 5.2599 5.2599 5.3259
angles: 90.00 90.00 90.00
Element x y z (fractional)
La: 0.0000 0.0000 0.0000
Cr: 0.0000 0.0000 0.5000
Bi: 0.5000 0.5000 0.0000
Pb: 0.0000 0.5000 0.5000
Pb: 0.5000 0.0000 0.5000

## Properties
Total energy: -25.625 eV/f.u.
Energy of formation: 0.22 eV/f.u.

[17]
A plane-wave DFT calculation with PBE was carried out for a relaxed Zr2TlW crystal.

abc: 3.3783 5.0464 9.9976
angles: 90.00 90.00 90.00
Element x y z (fractional)
Zr: 0.0000 0.0000 0.0000
Zr: 0.0000 0.5000 0.2738
Zr: 0.5000 0.0000 0.2738
Zr: 0.5000 0.5000 0.0000
Tl: 0.0000 0.0000 0.5379
Tl: 0.5000 0.5000 0.5379
W: 0.0000 0.5000 0.7797
W: 0.5000 0.0000 0.7797

## Properties
Total energy: -30.934 eV/f.u.
Energy of formation: 1.48 eV/f.u.
E above lowest polymorph: 376 meV/atom

[18]
A plane-wave DFT calculation with PBE was carried out for a relaxed ScTa3Ni crystal.

abc: 4.6696 4.6696 4.6696
angles: 90.00 90.00 90.00
Element x y z (fractional)
Sc: 0.0000 0.0000 0.0000
Ta: 0.0000 0.5000 0.5000
Ta: 0.5000 0.0000 0.5000
Ta: 0.5000 0.5000 0.0000
Ni: 0.5000 0.5000 0.5000

## Properties
Total energy: -44.119 eV/f.u.
Energy of formation: 3.55 eV/f.u.
E above lowest polymorph: 0 meV/atom

[19]
A plane-wave DFT calculation with PBE was carried out for a relaxed CeNdLuPu crystal.

abc: 7.8585 7.8585 7.8585
angles: 90.00 90.00 90.00
Element x y z (fractional)
Ce: 0.0000 0.0000 0.0000
Ce: 0.0000 0.5000 0.5000
Ce: 0.5000 0.0000 0.5000
Ce: 0.5000 0.5000 0.0000
Nd: 0.0000 0.0000 0.5000
Nd: 0.0000 0.5000 0.0000
Nd: 0.5000 0.0000 0.0000
Nd: 0.5000 0.5000 0.5000
Lu: 0.2500 0.2500 0.7500
Lu: 0.2500 0.7500 0.2500
Lu: 0.7500 0.2500 0.2500
Lu: 0.7500 0.7500 0.7500
Pu: 0.2500 0.2500 0.2500
Pu: 0.2500 0.7500 0.7500
Pu: 0.7500 0.2500 0.7500
Pu: 0.7500 0.7500 0.2500

## Properties
Total energy: -28.790 eV/f.u.
Energy of formation: 0.76 eV/f.u.

[20]
A plane-wave DFT calculation with PBE was carried out for a relaxed Ca2ReSe crystal.

abc: 4.2440 4.2440 10.6546
angles: 90.00 90.00 90.00
Element x y z (fractional)
Ca: 0.0000 0.0000 0.0000
Ca: 0.0000 0.5000 0.2500
Ca: 0.5000 0.0000 0.7500
Ca: 0.5000 0.5000 0.5000
Re: 0.0000 0.5000 0.7500
Re: 0.5000 0.0000 0.2500
Se: 0.0000 0.0000 0.5000
Se: 0.5000 0.5000 0.0000

## Properties
Total energy: -18.924 eV/f.u.
Formation energy (no corrections): 0.253 eV/atom